A plane-wave DFT calculation with GGA+U was carried out for a geometry-optimized VAsSe2O structure.

For the uncorrected energy, the calculation gives -20.6 eV for the cell shown.

The space group is P4/mmm (No. 123) and the conventional cell measures 4.508, 4.508 and 4.286 Å, with angles of 90.00, 90.00 and 90.00 degrees. The distinct sites, in fractional coordinates, are V at (0.000, 0.000, 0.000), As at (0.500, 0.500, 0.000), Se at (0.000, 0.500, 0.500) and O at (0.500, 0.500, 0.500).